Record 1
Material: Y5Ru3
Method: DFT, PBE
State: relaxed

a b c (Å): 6.3576 7.7442 8.5206
angles (deg): 84.94 68.24 76.22
With the nearest neighbours (Å) after each atom.
Fractional coordinates of all 16 atoms:
Y: 0.0185 0.2037 0.1222  5 Ru 2.88-3.20
Y: 0.1760 0.3706 0.7171  5 Ru 2.91-3.02
Y: 0.2558 0.9813 0.4995  4 Ru 2.82-2.91
Y: 0.3609 0.7952 0.1209  4 Ru 2.87-3.00
Y: 0.3948 0.3720 0.2842  5 Ru 2.92-3.03
Y: 0.6052 0.6280 0.7158  5 Ru 2.92-3.03
Y: 0.6391 0.2048 0.8791  4 Ru 2.87-3.00
Y: 0.7442 0.0187 0.5005  4 Ru 2.82-2.91
Y: 0.8240 0.6294 0.2829  5 Ru 2.91-3.02
Y: 0.9815 0.7963 0.8778  5 Ru 2.88-3.20
Ru: 0.0687 0.6852 0.5015  6 Y 2.82-3.03
Ru: 0.2502 0.5003 0.9997  8 Y 2.87-2.93, 2 Ru 3.18
Ru: 0.3463 0.9993 0.8079  8 Y 2.91-3.01
Ru: 0.6537 0.0007 0.1921  8 Y 2.91-3.01
Ru: 0.7498 0.4997 0.0003  8 Y 2.87-2.93, 2 Ru 3.18
Ru: 0.9313 0.3148 0.4985  6 Y 2.82-3.03

M_tot in μB per formula unit: 0.0
Formation energy from the elements in meV per atom: -303.7
Energy above the lowest structure with this stoichiometry in meV per atom: 22.7

Record 2
Material: Be2CuP
Method: DFT, PBE
State: relaxed

a b c (Å): 6.3443 6.3443 6.3443
angles (deg): 134.70 134.70 66.00
With the nearest neighbours (Å) after each atom.
Fractional coordinates of all 8 atoms:
Be: 0.0863 0.6250 0.9613  2 P 2.08, 2 Cu 2.29
Be: 0.3750 0.3363 0.4613  2 P 2.08, 2 Cu 2.29
Be: 0.6637 0.1250 0.0387  2 P 2.08, 2 Cu 2.29
Be: 0.8750 0.9137 0.5387  2 P 2.08, 2 Cu 2.29
Cu: 0.2500 0.7500 0.5000  4 Be 2.29
Cu: 0.5000 0.5000 0.0000  4 Be 2.29
P: 0.0000 0.0000 0.0000  4 Be 2.08
P: 0.7500 0.2500 0.5000  4 Be 2.08

M_tot in μB per formula unit: 0.0
Formation energy from the elements in meV per atom: 402.8

Record 3
Material: Pm6Bi2Pb
Method: DFT, PBE
State: relaxed

a b c (Å): 4.4537 8.6977 8.6977
angles (deg): 120.02 90.00 90.00
With the nearest neighbours (Å) after each atom.
Fractional coordinates of all 9 atoms:
Pm: 0.0000 0.0000 0.0000  2 Pb 3.17, 2 Bi 3.26
Pm: 0.0000 0.4793 0.7390  2 Pb 3.17, 2 Bi 3.26
Pm: 0.0000 0.7390 0.4793  2 Pb 3.17, 2 Bi 3.26
Pm: 0.5000 0.1467 0.7394  4 Bi 3.45, 1 Pb 3.54, 6 Pm 3.65-3.82
Pm: 0.5000 0.3319 0.3319  4 Bi 3.45, 1 Pb 3.55, 6 Pm 3.65-3.82
Pm: 0.5000 0.7394 0.1467  4 Bi 3.45, 1 Pb 3.54, 6 Pm 3.65-3.82
Bi: 0.0000 0.0724 0.4062  9 Pm 3.26-3.45
Bi: 0.0000 0.4062 0.0724  9 Pm 3.26-3.45
Pb: 0.5000 0.7400 0.7400  9 Pm 3.17-3.55

M_tot in μB per formula unit: 3.8
Formation energy from the elements in meV per atom: -554.7

Record 4
Material: Li2Ag7BiSb2
Method: DFT, PBE
State: relaxed

a b c (Å): 4.2939 4.2939 13.2627
angles (deg): 90.17 90.17 91.06
With the nearest neighbours (Å) after each atom.
Fractional coordinates of all 12 atoms:
Li: 0.0007 0.0007 0.3177  6 Ag 2.81-2.90, 4 Sb 3.00-3.06
Li: 0.9993 0.9993 0.6823  6 Ag 2.81-2.90, 4 Sb 3.00-3.06
Ag: 0.0000 0.0000 0.0000  4 Bi 3.01-3.06, 8 Ag 3.11-3.13
Ag: 0.9998 0.4988 0.1704  2 Li 2.90, 2 Sb 2.90, 6 Ag 3.01-3.13, 2 Bi 3.11-3.12
Ag: 0.0002 0.5012 0.8296  2 Li 2.90, 2 Sb 2.90, 6 Ag 3.01-3.13, 2 Bi 3.11-3.12
Ag: 0.2424 0.2424 0.4996  2 Li 2.81-2.83, 2 Sb 2.87-2.88, 4 Ag 2.92-3.10
Ag: 0.4988 0.9998 0.1704  2 Li 2.90, 2 Sb 2.90, 6 Ag 3.01-3.13, 2 Bi 3.11-3.12
Ag: 0.5012 0.0002 0.8296  2 Li 2.90, 2 Sb 2.90, 6 Ag 3.01-3.13, 2 Bi 3.11-3.12
Ag: 0.7576 0.7576 0.5004  2 Li 2.81-2.83, 2 Sb 2.87-2.88, 4 Ag 2.92-3.10
Bi: 0.5000 0.5000 0.0000  12 Ag 3.01-3.12
Sb: 0.4985 0.4985 0.6824  6 Ag 2.87-2.90, 4 Li 3.00-3.06
Sb: 0.5015 0.5015 0.3176  6 Ag 2.87-2.90, 4 Li 3.00-3.06

M_tot in μB per formula unit: 0.0
Formation energy without anion corrections in eV per atom: -0.0583

Record 5
Material: Tl2AgAs
Method: DFT, PBE
State: relaxed

a b c (Å): 10.2561 10.2561 10.2561
angles (deg): 18.97 18.97 18.97
With the nearest neighbours (Å) after each atom.
Fractional coordinates of all 4 atoms:
Tl: 0.0000 0.0000 0.0000  3 As 3.29, 9 Tl 3.38-3.59
Tl: 0.2334 0.2334 0.2334  3 Ag 3.17, 6 Tl 3.38
Ag: 0.4840 0.4840 0.4840  3 As 2.73
As: 0.7542 0.7542 0.7542  3 Ag 2.73

M_tot in μB per formula unit: 0.0
Formation energy from the elements in meV per atom: 206.5
Energy above the lowest structure with this stoichiometry in meV per atom: 194.1

Record 6
Material: PrGdCuSn
Method: DFT, PBE
State: relaxed

a b c (Å): 5.2845 5.2845 5.2845
angles (deg): 60.00 60.00 60.00
With the nearest neighbours (Å) after each atom.
Fractional coordinates of all 4 atoms:
Pr: 0.0000 0.0000 0.0000  4 Sn 3.24, 4 Cu 3.24
Gd: 0.5000 0.5000 0.5000  4 Sn 3.24, 4 Cu 3.24
Cu: 0.7500 0.7500 0.7500  4 Gd 3.24, 4 Pr 3.24
Sn: 0.2500 0.2500 0.2500  4 Gd 3.24, 4 Pr 3.24

M_tot in μB per formula unit: 7.9
Formation energy from the elements in meV per atom: -427.3